1.
{"formula": "Sr3Hg3Pt2", "functional": "PBE", "state": "optimized geometry", "cell": [[-3.815, -1.535, -1.660], [4.658, -3.706, -1.355], [-2.818, -8.927, 14.730]], "species": ["Sr", "Pt", "Hg", "Sr", "Sr", "Hg", "Pt", "Pt", "Sr", "Hg", "Sr", "Hg", "Pt", "Sr", "Hg", "Hg"], "fractional_positions": [[0.656, 0.313, 0.250], [0.775, 0.550, 0.881], [0.371, 0.741, 0.250], [0.069, 0.139, 0.895], [0.069, 0.139, 0.605], [0.361, 0.721, 0.966], [0.775, 0.550, 0.619], [0.225, 0.450, 0.119], [0.931, 0.861, 0.395], [0.639, 0.279, 0.466], [0.344, 0.687, 0.750], [0.629, 0.259, 0.750], [0.225, 0.450, 0.381], [0.931, 0.861, 0.105], [0.639, 0.279, 0.034], [0.361, 0.721, 0.534]], "m_tot_mub_per_fu": 0.00}


2.
{"formula": "Sr2Hg3Pt2", "functional": "PBE", "state": "optimized geometry", "cell": [[4.472, 0.000, 0.000], [-2.236, 4.998, -1.955], [0.000, 0.049, 7.775]], "species": ["Pt", "Pt", "Hg", "Sr", "Hg", "Hg", "Sr"], "fractional_positions": [[0.144, 0.289, 0.204], [0.856, 0.711, 0.796], [0.370, 0.740, 0.555], [0.143, 0.286, 0.780], [0.500, 0.000, 0.000], [0.630, 0.260, 0.445], [0.857, 0.714, 0.220]], "m_tot_mub_per_fu": 0.00}


3.
{"formula": "SrHg2Pt", "functional": "PBE", "state": "optimized geometry", "cell": [[5.966, 0.024, -0.013], [2.518, 5.408, 0.013], [-3.777, -3.442, 3.078]], "species": ["Hg", "Sr", "Hg", "Pt"], "fractional_positions": [[0.535, 0.535, 0.000], [0.250, 0.750, 0.500], [0.965, 0.965, 0.000], [0.750, 0.250, 0.500]], "m_tot_mub_per_fu": 0.00}


4.
{"formula": "SrHgPt2", "functional": "PBE", "state": "optimized geometry", "cell": [[5.236, -0.012, -0.006], [1.423, 5.039, 0.006], [-3.325, -2.521, 3.164]], "species": ["Sr", "Hg", "Pt", "Pt"], "fractional_positions": [[0.750, 0.250, 0.500], [0.250, 0.750, 0.500], [0.500, 0.500, 0.000], [0.000, 0.000, 0.000]], "m_tot_mub_per_fu": 0.00}


5.
{"formula": "SrHgPt2", "functional": "PBE", "state": "optimized geometry", "cell": [[4.913, 0.000, 0.000], [0.000, 4.913, 0.000], [2.457, 2.457, 9.413]], "species": ["Sr", "Sr", "Pt", "Pt", "Pt", "Hg", "Hg", "Pt"], "fractional_positions": [[0.250, 0.750, 0.500], [0.500, 0.500, 0.000], [0.375, 0.195, 0.750], [0.945, 0.625, 0.250], [0.875, 0.055, 0.750], [0.000, 0.000, 0.000], [0.750, 0.250, 0.500], [0.805, 0.125, 0.250]], "m_tot_mub_per_fu": 0.00}


6.
{"formula": "SrHg2Pt", "functional": "PBE", "state": "optimized geometry", "cell": [[5.160, -0.148, 0.000], [0.105, 5.161, 0.000], [-2.632, -2.507, 3.665]], "species": ["Hg", "Hg", "Sr", "Pt"], "fractional_positions": [[0.250, 0.750, 0.500], [0.000, 0.000, 0.000], [0.750, 0.250, 0.500], [0.500, 0.500, 0.000]], "m_tot_mub_per_fu": 0.00}


| no. | VASP energy (eV per atom) | energy relative to the elements (eV/atom) |
| --- | --- | --- |
| 1 | -2.88 | -0.630 |
| 2 | -2.89 | -0.559 |
| 3 | -2.48 | -0.401 |
| 4 | -3.84 | -0.326 |
| 5 | -3.81 | -0.297 |
| 6 | -2.43 | -0.343 |